A plane-wave DFT calculation with PBE was carried out for crystalline CaIn3Pd3 at its relaxed geometry.

The space group is P2_1/m (No. 11) and the conventional cell measures 8.613, 4.702 and 8.619 Å, with angles of 90.00, 119.96 and 90.00 degrees. Symmetry generates all atoms from Ca at (0.166, 0.250, 0.333), In at (0.227, 0.250, 0.750), In at (0.250, 0.750, 0.024), In at (0.477, 0.750, 0.727), Pd at (0.069, 0.250, 0.956), Pd at (0.113, 0.750, 0.569) and Pd at (0.456, 0.750, 0.387).

A plane-wave DFT calculation with PBE was carried out for crystalline Nd3HoBi4 at its relaxed geometry.

The space group is Cmmm (No. 65) and the conventional cell measures 9.143, 12.935 and 4.577 Å, with angles of 90.00, 90.00 and 90.00 degrees. Symmetry generates all atoms from Nd at (0.000, 0.000, 0.000), Nd at (0.250, 0.250, 0.500), Ho at (0.000, 0.500, 0.000), Bi at (0.000, 0.253, 0.000) and Bi at (0.243, 0.500, 0.500).

A plane-wave DFT calculation with PBE was carried out for crystalline GaPPd6 at its relaxed geometry.

The space group is R-3 (No. 148, hexagonal axes) and the conventional cell measures 5.8491, 5.8491 and 13.0879 Å, with angles of 90.00, 90.00 and 120.00 degrees. Symmetry generates all atoms from Ga at (0.0000, 0.0000, 0.0000), P at (0.0000, 0.0000, 0.5000) and Pd at (0.0210, 0.7299, 0.2468).

A plane-wave DFT calculation with PBE was carried out for crystalline Mg12In2Pb5 at its relaxed geometry.

The space group is C2/m (No. 12) and the conventional cell measures 16.427, 6.712 and 9.651 Å, with angles of 90.00, 96.85 and 90.00 degrees. Symmetry generates all atoms from Mg at (0.029, 0.000, 0.293), Mg at (0.061, 0.500, 0.241), Mg at (0.142, 0.244, 0.595), Mg at (0.190, 0.255, 0.125), In at (0.000, 0.242, 0.000), Pb at (0.000, 0.500, 0.500), Pb at (0.149, 0.000, 0.866) and Pb at (0.209, 0.000, 0.377).

A plane-wave DFT calculation with PBE was carried out for crystalline Ba2LaFe at its relaxed geometry.

The space group is Immm (No. 71) and the conventional cell measures 3.676, 4.519 and 19.254 Å, with angles of 90.00, 90.00 and 90.00 degrees. Symmetry generates all atoms from Ba at (0.000, 0.000, 0.157), La at (0.000, 0.500, 0.000) and Fe at (0.000, 0.500, 0.500).

A plane-wave DFT calculation with PBE was carried out for crystalline Nd4Dy at its relaxed geometry.

The space group is R-3m (No. 166, hexagonal axes) and the conventional cell measures 3.6535, 3.6535 and 44.6748 Å, with angles of 90.00, 90.00 and 120.00 degrees. Symmetry generates all atoms from Nd at (0.0000, 0.0000, 0.1013), Nd at (0.0000, 0.0000, 0.2997) and Dy at (0.0000, 0.0000, 0.5000).

A plane-wave DFT calculation with PBE was carried out for crystalline PmSc2Pd at its relaxed geometry.

The space group is P4/mmm (No. 123) and the conventional cell measures 3.391, 3.391 and 8.159 Å, with angles of 90.00, 90.00 and 90.00 degrees. Symmetry generates all atoms from Pm at (0.000, 0.000, 0.000), Sc at (0.500, 0.500, 0.307) and Pd at (0.000, 0.000, 0.500).

A plane-wave DFT calculation with PBE was carried out for crystalline K2BeCr at its relaxed geometry.

The space group is Cmmm (No. 65) and the conventional cell measures 6.048, 8.494 and 4.908 Å, with angles of 90.00, 90.00 and 90.00 degrees. Symmetry generates all atoms from K at (0.250, 0.250, 0.000), Be at (0.000, 0.000, 0.500) and Cr at (0.000, 0.500, 0.500).

| no. | ΔH_f (0 K) (eV per atom) | calculated volume (Å³/cell) |
| --- | --- | --- |
| 1 | -0.507 | 302.4 |
| 2 | -0.916 | 541.3 |
| 3 | -0.323 | 387.7 |
| 4 | 0.045 | 1056.5 |
| 5 | 0.375 | 319.8 |
| 6 | 0.011 | 516.6 |
| 7 | -0.405 | 93.8 |
| 8 | 1.188 | 252.1 |